Entry 1:
Material: MgTa2Te
Method: DFT, PBEsol
State: optimized geometry

abc: 4.051 4.051 5.402
angles: 112.02 112.02 90.00
Sites, in units of the cell vectors:
Mg: 0.000 0.000 0.000
Ta: 0.750 0.250 0.500
Ta: 0.250 0.750 0.500
Te: 0.500 0.500 0.000

Energy above the most stable polymorph in this dataset = 70 meV/atom
Fermi-level density of states = 0.974 states/eV/atom
Space group = I4/mmm
Formation energy from raw total energies = 341 meV per atom



Entry 2:
Material: AlFeF2
Method: DFT, PBEsol
State: optimized geometry

abc: 5.595 5.595 5.739
angles: 119.17 119.17 90.00
Site moments in Bohr magnetons follow the coordinates.
Sites, in units of the cell vectors:
F: 0.630 0.875 0.250  0.00
F: 0.620 0.375 0.250  0.00
F: 0.125 0.380 0.750  0.00
F: 0.625 0.370 0.750  0.00
Fe: 0.250 0.750 0.500  3.13
Fe: 0.000 0.000 0.000  3.13
Al: 0.750 0.250 0.500  -0.03
Al: 0.500 0.500 0.000  -0.03

Fermi-level density of states = 0.827 states/eV/atom
Space group = I-42d
Formation energy from raw total energies = -880 meV per atom



Entry 3:
Material: LiFePt2
Method: DFT, PBEsol
State: optimized geometry

abc: 2.700 4.480 4.480
angles: 103.77 90.00 90.00
Site moments in Bohr magnetons follow the coordinates.
Sites, in units of the cell vectors:
Fe: 0.500 0.000 0.000  2.82
Pt: 0.000 0.500 0.000  0.20
Pt: 0.000 0.000 0.500  0.20
Li: 0.500 0.500 0.500  -0.01

Formation energy = -0.34 eV/atom
Fermi-level density of states = 0.765 states/eV/atom
Space group = Cmmm